(1)
Below is KSi2Br after structural relaxation, with properties calculated at the PBE level.

It has space group Amm2 (No. 38), with a = 3.557 Å, b = 3.581 Å, c = 15.988 Å, α = 90.00°, β = 90.00° and γ = 90.00°. The distinct sites, in fractional coordinates, are K at (0.000, 0.000, 0.000), Si at (0.000, 0.000, 0.312), Si at (0.500, 0.000, 0.782) and Br at (0.500, 0.000, 0.619).

As for the crystal system: orthorhombic. As for the formation energy without anion corrections: -17 kJ per mole of atoms.

***

(2)
Below is Pa2SbO6 after structural relaxation, with properties calculated at the PBE level.

It has space group P-31m (No. 162), with a = 6.0102 Å, b = 6.0102 Å, c = 4.5524 Å, α = 90.00°, β = 90.00° and γ = 120.00°. The distinct sites, in fractional coordinates, are Pa at (0.3333, 0.6667, 0.0000), Sb at (0.0000, 0.0000, 0.5000) and O at (0.0000, 0.3473, 0.7663).

As for the crystal system: trigonal. As for the formation energy without anion corrections: -263 kJ per mole of atoms.

***

(3)
Below is YNb2P2 after structural relaxation, with properties calculated at the PBE level.

It has space group I4/mmm (No. 139), with a = 4.745 Å, b = 4.745 Å, c = 8.650 Å, α = 90.00°, β = 90.00° and γ = 90.00°. The distinct sites, in fractional coordinates, are Y at (0.000, 0.000, 0.000), Nb at (0.000, 0.000, 0.357) and P at (0.000, 0.500, 0.250).

As for the crystal system: tetragonal. The calculation puts the formation energy at -586.0 meV/atom.

***

Record-wise V values, in Å³ per cell: 203.65, 142.41, 194.72